This record from Alexandria describes a geometry-optimized ZrSc2Ta structure. The functional is GGA-PBE.

a = 7.8116 Å, b = 7.8116 Å, c = 5.8840 Å
α = 90.00°, β = 90.00°, γ = 90.00°
Space group I-42d (No. 122)
Asymmetric unit:
Zr 0.0000 0.0000 0.0000 x4
Sc 0.2385 0.7500 0.6250 x8
Ta 0.0000 0.0000 0.5000 x4

M_tot	0.006	Bohr magnetons per cell
energy of formation	646	meV per atom

This record from Alexandria describes a geometry-optimized YHo3Sb3 structure. The functional is GGA-PBE.

a = 9.1708 Å, b = 9.1708 Å, c = 9.1708 Å
α = 90.00°, β = 90.00°, γ = 90.00°
Space group P2_13 (No. 198)
Asymmetric unit:
Y 0.0720 0.4280 0.5720 x4
Ho 0.0728 0.5728 0.9272 x4
Ho 0.1781 0.1781 0.1781 x4
Ho 0.1777 0.8223 0.3223 x4
Sb 0.0003 0.2510 0.8755 x12

polymorph energy (0 for the lowest one)	0	meV per atom
M_tot	0.000	Bohr magnetons per cell
formation energy from raw total energies	-0.9859	eV per atom

This record from Alexandria describes a geometry-optimized YZrAs2 structure. The functional is GGA-PBE.

a = 4.2979 Å, b = 5.3910 Å, c = 7.3740 Å
α = 90.00°, β = 90.00°, γ = 90.00°
Space group Cmmm (No. 65)
Asymmetric unit:
Y 0.0000 0.0000 0.0000 x2
Zr 0.0000 0.0000 0.5000 x2
As 0.0000 0.5000 0.2612 x4

polymorph energy (0 for the lowest one)	390	meV per atom
M_tot	0.000	Bohr magnetons per cell
energy of formation	-936	meV per atom

This record from Alexandria describes a geometry-optimized AcSmMg2Ag4 structure. The functional is GGA-PBE.

a = 4.8484 Å, b = 4.8484 Å, c = 28.8445 Å
α = 90.00°, β = 90.00°, γ = 120.00°
Space group R-3m (No. 166, hexagonal axes)
Asymmetric unit:
Ac 0.0000 0.0000 0.0000 x3
Sm 0.0000 0.0000 0.5000 x3
Mg 0.0000 0.0000 0.2415 x6
Ag 0.0000 0.0000 0.1144 x6
Ag 0.0000 0.0000 0.3962 x6

M_tot	0.000	Bohr magnetons per cell
energy of formation	-275	meV per atom